Below is an optimized crystal structure of La2Ni2Ru, with properties calculated at the GGA-PBE level.

Unit cell a=7.0718 b=7.0718 c=4.0048 alpha=90.00 beta=90.00 gamma=90.00
Atoms (fractional coordinates):
La (0.6885, 0.8115, 0.5000)
La (0.8115, 0.3115, 0.5000)
Ni (0.1202, 0.3798, 0.0000)
La (0.1885, 0.6885, 0.5000)
Ru (0.5000, 0.5000, 0.0000)
Ni (0.6202, 0.1202, 0.0000)
Ru (0.0000, 0.0000, 0.0000)
Ni (0.3798, 0.8798, 0.0000)
La (0.3115, 0.1885, 0.5000)
Ni (0.8798, 0.6202, 0.0000)

The calculation puts the formation energy at -0.137 eV/atom. Its crystal system is tetragonal.